(1)
SCAN CsInCu6O8, PBEsol geometry; magnetic moment = 0.0000 μB/atom; VASP energy = -14.183 eV/atom; DOS at the Fermi energy = 0.50 states/eV per atom; space-group type = Fm-3m (225); ρ = 6.4 g/cm3; crystal system = cubic; ΔE_f (raw) = -89 kJ per mole of atoms
1.0
0.000 4.616 4.616
4.616 0.000 4.616
4.616 4.616 0.000
Cs In Cu O
1 1 6 8
direct
0.000 0.000 0.000 Cs
0.500 0.500 0.500 In
0.000 0.000 0.500 Cu
0.000 0.500 0.000 Cu
0.000 0.500 0.500 Cu
0.500 0.000 0.000 Cu
0.500 0.000 0.500 Cu
0.500 0.500 0.000 Cu
0.072 0.643 0.643 O
0.357 0.357 0.357 O
0.357 0.357 0.928 O
0.357 0.928 0.357 O
0.643 0.072 0.643 O
0.643 0.643 0.072 O
0.643 0.643 0.643 O
0.928 0.357 0.357 O



(2)
SCAN YFe2Se, PBEsol geometry; magnetic moment = 1.2843 μB/atom; VASP energy = -21.076 eV/atom; DOS at the Fermi energy = 0.46 states/eV per atom; space-group type = P4/mmm (123); ρ = 6.9 g/cm3; crystal system = tetragonal; ΔE_f (raw) = -3 kJ per mole of atoms
1.0
3.455 0.000 0.000
0.000 3.455 0.000
0.000 0.000 5.605
Y Fe Se
1 2 1
direct
0.000 0.000 0.000 Y
0.500 0.500 0.293 Fe
0.500 0.500 0.707 Fe
0.000 0.000 0.500 Se



Please write out number 1 again, unchanged.
SCAN CsInCu6O8, PBEsol geometry; magnetic moment = 0.0000 μB/atom; VASP energy = -14.183 eV/atom; DOS at the Fermi energy = 0.50 states/eV per atom; space-group type = Fm-3m (225); ρ = 6.4 g/cm3; crystal system = cubic; ΔE_f (raw) = -89 kJ per mole of atoms
1.0
0.000 4.616 4.616
4.616 0.000 4.616
4.616 4.616 0.000
Cs In Cu O
1 1 6 8
direct
0.000 0.000 0.000 Cs
0.500 0.500 0.500 In
0.000 0.000 0.500 Cu
0.000 0.500 0.000 Cu
0.000 0.500 0.500 Cu
0.500 0.000 0.000 Cu
0.500 0.000 0.500 Cu
0.500 0.500 0.000 Cu
0.072 0.643 0.643 O
0.357 0.357 0.357 O
0.357 0.357 0.928 O
0.357 0.928 0.357 O
0.643 0.072 0.643 O
0.643 0.643 0.072 O
0.643 0.643 0.643 O
0.928 0.357 0.357 O



- The highest magnetic moment belongs to which entry?
  YFe2Se



- Among the records above, which one has the lowest ρ?
  CsInCu6O8